! EuDy2C, optimized geometry, DFT PBE; values from VASP
! Volume = 27.1 A^3/atom
&SYSTEM
  ibrav = 0, nat = 4, ntyp = 3
/
ATOMIC_SPECIES
Eu 151.96 Eu.upf
C 12.01 C.upf
Dy 162.50 Dy.upf
ATOMIC_POSITIONS angstrom
Eu -5.537 3.044 0.646
C 0.000 0.000 0.000
Dy -9.235 4.420 1.424
Dy -1.838 1.668 -0.132
CELL_PARAMETERS angstrom
-0.351 3.578 0.430
-1.577 1.988 -2.583
-9.145 0.521 3.445

! SmDy2Ta, optimized geometry, DFT PBE; values from VASP
! Volume = 27.5 A^3/atom
&SYSTEM
  ibrav = 0, nat = 4, ntyp = 3
/
ATOMIC_SPECIES
Dy 162.50 Dy.upf
Sm 150.36 Sm.upf
Ta 180.95 Ta.upf
ATOMIC_POSITIONS angstrom
Dy 4.983 -3.173 6.870
Dy -0.538 -5.522 3.173
Sm 2.223 -4.348 5.022
Ta 0.000 0.000 0.000
CELL_PARAMETERS angstrom
-2.244 -1.801 1.581
-0.204 -3.229 -0.559
6.894 -3.666 9.021

Number 1: spin magnetization 7.58 μB/cell, calculated total energy -29.3 eV/cell. Number 2: spin magnetization 0.00 μB/cell, calculated total energy -23.3 eV/cell.